Record 1
The following is a PBE-GGA calculation of a relaxed structure of La2PmEr5Sc, from Alexandria via LeMat-Bulk.

The space group is Cmc2_1 (No. 36) and the conventional cell measures 5.5961, 19.6655 and 10.5149 Å, with angles of 90.00, 90.00 and 90.00 degrees. Symmetry generates all atoms from La at (0.0000, 0.1137, 0.0000), La at (0.0000, 0.1157, 0.4194), Pm at (0.0000, 0.4131, 0.1475), Er at (0.0000, 0.0161, 0.7067), Er at (0.0000, 0.2774, 0.0074), Er at (0.0000, 0.2964, 0.3893), Er at (0.0000, 0.3763, 0.7045), Er at (0.0000, 0.4830, 0.4257) and Sc at (0.0000, 0.1986, 0.6997).

For the total energy, the calculation gives -4.7042 eV per atom. As for the formation energy: 157.1 meV per atom. As for the density of states at the Fermi level: 11.3 states/eV/f.u. The value obtained for the size of the total moment is 0.0 μB/f.u.

***

Record 2
The following is a PBE-GGA calculation of a relaxed structure of MgAu, from Alexandria via LeMat-Bulk.

The space group is P-3m1 (No. 164) and the conventional cell measures 3.1498, 3.1498 and 9.1141 Å, with angles of 90.00, 90.00 and 120.00 degrees. Symmetry generates all atoms from Mg at (0.3333, 0.6667, 0.3563) and Au at (0.3333, 0.6667, 0.8705).

For the total energy, the calculation gives -2.6513 eV per atom. As for the formation energy: -215.3 meV per atom. As for the density of states at the Fermi level: 0.5 states/eV/f.u. The value obtained for the size of the total moment is 0.0 μB/f.u.

***

Record 3
The following is a PBE-GGA calculation of a relaxed structure of Nd6Dy2Ho3Sc, from Alexandria via LeMat-Bulk.

The space group is C2/m (No. 12) and the conventional cell measures 6.2324, 10.7931 and 11.7467 Å, with angles of 90.00, 100.16 and 90.00 degrees. Symmetry generates all atoms from Nd at (0.2483, 0.0000, 0.2519), Nd at (0.2476, 0.1652, 0.7479), Dy at (0.0000, 0.3333, 0.5000), Ho at (0.0000, 0.1667, 0.0000), Ho at (0.0000, 0.5000, 0.0000) and Sc at (0.0000, 0.0000, 0.5000).

For the total energy, the calculation gives -4.7998 eV per atom. As for the formation energy: 23.2 meV per atom. As for the density of states at the Fermi level: 13.2 states/eV/f.u. The value obtained for the size of the total moment is 0.0 μB/f.u.

***

Record 4
The following is a PBE-GGA calculation of a relaxed structure of Dy2HoScSe4, from Alexandria via LeMat-Bulk.

The space group is P2/m (No. 10) and the conventional cell measures 6.9864, 3.9860 and 7.0008 Å, with angles of 90.00, 109.00 and 90.00 degrees. Symmetry generates all atoms from Dy at (0.0000, 0.0000, 0.0000), Dy at (0.5000, 0.5000, 0.0000), Ho at (0.0000, 0.5000, 0.5000), Sc at (0.5000, 0.0000, 0.5000), Se at (0.2539, 0.0000, 0.7437) and Se at (0.2594, 0.5000, 0.2606).

For the total energy, the calculation gives -5.9498 eV per atom. As for the density of states at the Fermi level: 4.9 states/eV/f.u. The value obtained for the size of the total moment is 0.0 μB/f.u. The raw formation energy comes out at -1.693 eV per atom.

***

Record 5
The following is a PBE-GGA calculation of a relaxed structure of Nd2ZrSb3, from Alexandria via LeMat-Bulk.

The space group is I4/mmm (No. 139) and the conventional cell measures 4.4016, 4.4016 and 18.5456 Å, with angles of 90.00, 90.00 and 90.00 degrees. Symmetry generates all atoms from Nd at (0.0000, 0.0000, 0.1682), Zr at (0.0000, 0.0000, 0.5000), Sb at (0.0000, 0.0000, 0.0000) and Sb at (0.0000, 0.0000, 0.3407).

For the total energy, the calculation gives -6.0006 eV per atom. Its offset from the most stable computed form is 0.17 eV/f.u. As for the density of states at the Fermi level: 2.5 states/eV/f.u. The value obtained for the size of the total moment is 0.0 μB/f.u. The raw formation energy comes out at -0.925 eV per atom.

***

Record 6
The following is a PBE-GGA calculation of a relaxed structure of CsAsH2, from Alexandria via LeMat-Bulk.

The space group is Pnma (No. 62) and the conventional cell measures 15.5797, 6.0399 and 4.8221 Å, with angles of 90.00, 90.00 and 90.00 degrees. Symmetry generates all atoms from Cs at (0.1225, 0.2500, 0.2421), As at (0.1160, 0.7500, 0.7428), H at (0.1849, 0.7500, 0.5114) and H at (0.1862, 0.7500, 0.9702).

For the total energy, the calculation gives -3.3043 eV per atom. Its offset from the most stable computed form is 0.00 eV/f.u. As for the density of states at the Fermi level: 0.0 states/eV/f.u. The value obtained for the size of the total moment is 0.0 μB/f.u.

***

Record 7
The following is a PBE-GGA calculation of a relaxed structure of Cr2Cd3, from Alexandria via LeMat-Bulk.

The space group is R-3m (No. 166, hexagonal axes) and the conventional cell measures 3.0751, 3.0751 and 35.5843 Å, with angles of 90.00, 90.00 and 120.00 degrees. Symmetry generates all atoms from Cr at (0.0000, 0.0000, 0.1021), Cd at (0.0000, 0.0000, 0.2958) and Cd at (0.0000, 0.0000, 0.5000).

For the total energy, the calculation gives -3.8809 eV per atom. As for the formation energy: 517.5 meV per atom. As for the density of states at the Fermi level: 4.7 states/eV/f.u. The value obtained for the size of the total moment is 7.1 μB/f.u.

***

Record 8
The following is a PBE-GGA calculation of a relaxed structure of AcTb6Y, from Alexandria via LeMat-Bulk.

The space group is P4/mmm (No. 123) and the conventional cell measures 5.1191, 5.1191 and 10.2193 Å, with angles of 90.00, 90.00 and 90.00 degrees. Symmetry generates all atoms from Ac at (0.0000, 0.0000, 0.0000), Tb at (0.0000, 0.5000, 0.2572), Tb at (0.5000, 0.5000, 0.0000), Tb at (0.5000, 0.5000, 0.5000) and Y at (0.0000, 0.0000, 0.5000).

For the total energy, the calculation gives -4.7532 eV per atom. Its offset from the most stable computed form is 0.00 eV/f.u. As for the formation energy: 41.0 meV per atom. As for the density of states at the Fermi level: 12.5 states/eV/f.u. The value obtained for the size of the total moment is 0.0 μB/f.u.

***

Record 9
The following is a PBE-GGA calculation of a relaxed structure of LiPaCuN3, from Alexandria via LeMat-Bulk.

The space group is Cmcm (No. 63) and the conventional cell measures 3.3719, 11.0393 and 7.2795 Å, with angles of 90.00, 90.00 and 90.00 degrees. Symmetry generates all atoms from Li at (0.0000, 0.0000, 0.0000), Pa at (0.0000, 0.2752, 0.2500), Cu at (0.0000, 0.4623, 0.7500), N at (0.0000, 0.0741, 0.7500) and N at (0.0000, 0.3271, 0.5814).

For the total energy, the calculation gives -7.2168 eV per atom. As for the density of states at the Fermi level: 4.5 states/eV/f.u. The value obtained for the size of the total moment is 0.0 μB/f.u. The raw formation energy comes out at -0.470 eV per atom.

***

Record 10
The following is a PBE-GGA calculation of a relaxed structure of CdGaNF2, from Alexandria via LeMat-Bulk.

The space group is P4/mmm (No. 123) and the conventional cell measures 3.9715, 3.9715 and 3.9502 Å, with angles of 90.00, 90.00 and 90.00 degrees. Symmetry generates all atoms from Cd at (0.0000, 0.0000, 0.0000), Ga at (0.5000, 0.5000, 0.5000), N at (0.5000, 0.5000, 0.0000) and F at (0.0000, 0.5000, 0.5000).

For the total energy, the calculation gives -4.1790 eV per atom. Its offset from the most stable computed form is 0.00 eV/f.u. As for the density of states at the Fermi level: 0.7 states/eV/f.u. The value obtained for the size of the total moment is 0.0 μB/f.u. The raw formation energy comes out at -0.977 eV per atom.

***

Record 11
The following is a PBE-GGA calculation of a relaxed structure of Pu4PaAu5, from Alexandria via LeMat-Bulk.

The space group is P4/mmm (No. 123) and the conventional cell measures 3.9066, 3.9066 and 14.5235 Å, with angles of 90.00, 90.00 and 90.00 degrees. Symmetry generates all atoms from Pu at (0.0000, 0.0000, 0.1249), Pu at (0.0000, 0.0000, 0.2792), Pa at (0.0000, 0.0000, 0.5000), Au at (0.5000, 0.5000, 0.0000), Au at (0.5000, 0.5000, 0.1974) and Au at (0.5000, 0.5000, 0.3977).

For the total energy, the calculation gives -8.0025 eV per atom. As for the formation energy: 318.5 meV per atom. As for the density of states at the Fermi level: 37.3 states/eV/f.u. The value obtained for the size of the total moment is 0.0 μB/f.u.

***

Record 12
The following is a PBE-GGA calculation of a relaxed structure of Zr6CoPt2, from Alexandria via LeMat-Bulk.

The space group is Amm2 (No. 38) and the conventional cell measures 3.4355, 13.7650 and 7.5621 Å, with angles of 90.00, 90.00 and 90.00 degrees. Symmetry generates all atoms from Zr at (0.0000, 0.0000, 0.0000), Zr at (0.0000, 0.1294, 0.6547), Zr at (0.5000, 0.0000, 0.3522), Zr at (0.5000, 0.1949, 0.9946), Co at (0.5000, 0.0000, 0.7347) and Pt at (0.0000, 0.1612, 0.2886).

For the total energy, the calculation gives -8.3907 eV per atom. As for the formation energy: -560.0 meV per atom. As for the density of states at the Fermi level: 8.0 states/eV/f.u. The value obtained for the size of the total moment is 0.0 μB/f.u.

***

Record 13
The following is a PBE-GGA calculation of a relaxed structure of LuH2F, from Alexandria via LeMat-Bulk.

The space group is P4/mmm (No. 123) and the conventional cell measures 3.1225, 3.1225 and 4.2997 Å, with angles of 90.00, 90.00 and 90.00 degrees. Symmetry generates all atoms from Lu at (0.0000, 0.0000, 0.0000), H at (0.5000, 0.5000, 0.2255) and F at (0.0000, 0.0000, 0.5000).

For the total energy, the calculation gives -4.2941 eV per atom. As for the density of states at the Fermi level: 1.7 states/eV/f.u. The value obtained for the size of the total moment is 0.0 μB/f.u.